(1)
First-principles (PBE) data for a relaxed NdZn2CuPd5 crystal, as listed in Alexandria.

D(E_F), states/eV per cell: 2.74
Formation enthalpy at 0 K, eV per atom: -0.2786
Symmetry: P4/mmm (123)
E, eV/atom: -4.43
V, Å³ per atom: 17.79

Unit cell a=4.6608 b=4.6608 c=7.3703 alpha=90.00 beta=90.00 gamma=90.00
With the nearest neighbours (Å) after each atom.
Element x y z (fractional)
Nd (0.0000, 0.0000, 0.5000)  12 Pd 3.04-3.30
Zn (0.5000, 0.5000, 0.1558)  1 Zn 2.30, 5 Pd 2.40-2.54
Zn (0.5000, 0.5000, 0.8442)  1 Zn 2.30, 5 Pd 2.40-2.54
Cu (0.0000, 0.0000, 0.0000)  8 Pd 2.91
Pd (0.0000, 0.5000, 0.2355)  2 Zn 2.40
Pd (0.5000, 0.0000, 0.2355)  2 Zn 2.40
Pd (0.0000, 0.5000, 0.7645)  2 Zn 2.40
Pd (0.5000, 0.0000, 0.7645)  2 Zn 2.40
Pd (0.5000, 0.5000, 0.5000)  2 Zn 2.54



(2)
First-principles (PBE) data for a relaxed MgZr2Al2 crystal, as listed in Alexandria.

D(E_F), states/eV per cell: 2.08
Formation enthalpy at 0 K, eV per atom: -0.3187
Symmetry: P4/mbm (127)
E, eV/atom: -5.55
V, Å³ per atom: 20.32

Unit cell a=7.3182 b=7.3182 c=3.7940 alpha=90.00 beta=90.00 gamma=90.00
With the nearest neighbours (Å) after each atom.
Element x y z (fractional)
Mg (0.0000, 0.0000, 0.0000)  4 Al 2.91
Mg (0.5000, 0.5000, 0.0000)  4 Al 2.91
Al (0.3777, 0.8777, 0.0000)  1 Al 2.53, 2 Zr 2.82
Al (0.8777, 0.6223, 0.0000)  1 Al 2.53, 2 Zr 2.82
Al (0.6223, 0.1223, 0.0000)  1 Al 2.53, 2 Zr 2.82
Al (0.1223, 0.3777, 0.0000)  1 Al 2.53, 2 Zr 2.82
Zr (0.1756, 0.6756, 0.5000)  6 Al 2.82-2.92
Zr (0.6756, 0.8244, 0.5000)  6 Al 2.82-2.92
Zr (0.8244, 0.3244, 0.5000)  6 Al 2.82-2.92
Zr (0.3244, 0.1756, 0.5000)  6 Al 2.82-2.92



(3)
First-principles (PBE) data for a relaxed LaIn2RuN crystal, as listed in Alexandria.

D(E_F), states/eV per cell: 2.24
Symmetry: P4/mmm (123)
E, eV/atom: -5.42
V, Å³ per atom: 20.41
ΔE_f (raw), eV per atom: 0.179

Unit cell a=4.5615 b=4.9038 c=4.5615 alpha=90.00 beta=90.00 gamma=90.00
With the nearest neighbours (Å) after each atom.
Element x y z (fractional)
Ru (0.5000, 0.5000, 0.5000)  4 La 3.23, 8 In 3.35
N (0.0000, 0.0000, 0.0000)  4 In 2.28, 2 La 2.45
In (0.0000, 0.0000, 0.5000)  2 N 2.28
In (0.5000, 0.0000, 0.0000)  2 N 2.28
La (0.0000, 0.5000, 0.0000)  2 N 2.45



(4)
First-principles (PBE) data for a relaxed Os3Se crystal, as listed in Alexandria.

D(E_F), states/eV per cell: 2.56
Symmetry: C2/m (12)
E, eV/atom: -8.69
V, Å³ per atom: 15.24
ΔE_f (raw), eV per atom: 0.600

Unit cell a=5.0238 b=5.0238 c=4.4415 alpha=88.88 beta=88.88 gamma=32.96
With the nearest neighbours (Å) after each atom.
Element x y z (fractional)
Os (0.5000, 0.5000, 0.5000)  4 Se 2.64, 8 Os 2.75-2.90
Os (0.7789, 0.7789, 0.7346)  1 Se 2.46, 4 Os 2.59-2.75
Os (0.2211, 0.2211, 0.2654)  1 Se 2.46, 4 Os 2.59-2.75
Se (0.0000, 0.0000, 0.0000)  6 Os 2.46-2.64



(5)
First-principles (PBE) data for a relaxed Ba4HBr2 crystal, as listed in Alexandria.

D(E_F), states/eV per cell: 6.07
Symmetry: I4/mmm (139)
E, eV/atom: -2.80
V, Å³ per atom: 45.03

Unit cell a=5.1178 b=5.1178 c=12.5681 alpha=78.25 beta=78.25 gamma=90.00
With the nearest neighbours (Å) after each atom.
Element x y z (fractional)
H (0.0000, 0.0000, 0.0000)  4 Ba 2.56
Ba (0.1639, 0.1639, 0.6722)  1 Br 3.28
Ba (0.8361, 0.8361, 0.3278)  1 Br 3.28
Ba (0.0000, 0.5000, 0.0000)  2 H 2.56
Ba (0.5000, 0.0000, 0.0000)  2 H 2.56
Br (0.3001, 0.3001, 0.3997)  1 Ba 3.28
Br (0.6999, 0.6999, 0.6003)  1 Ba 3.28



(6)
First-principles (PBE) data for a relaxed GaSbICl2 crystal, as listed in Alexandria.

D(E_F), states/eV per cell: 2.69
Symmetry: P4/mmm (123)
E, eV/atom: -2.17
V, Å³ per atom: 36.21
ΔE_f (raw), eV per atom: 0.312

Unit cell a=5.5393 b=5.9010 c=5.5393 alpha=90.00 beta=90.00 gamma=90.00
With the nearest neighbours (Å) after each atom.
Element x y z (fractional)
I (0.0000, 0.0000, 0.0000)  4 Cl 2.77, 2 Sb 2.95
Sb (0.0000, 0.5000, 0.0000)  2 I 2.95
Ga (0.5000, 0.5000, 0.5000)  4 Sb 3.92, 8 Cl 4.05
Cl (0.0000, 0.0000, 0.5000)  2 I 2.77
Cl (0.5000, 0.0000, 0.0000)  2 I 2.77



(7)
First-principles (PBE) data for a relaxed Ce2ScPb crystal, as listed in Alexandria.

D(E_F), states/eV per cell: 16.19
Formation enthalpy at 0 K, eV per atom: -0.2920
Symmetry: Cmcm (63)
E, eV/atom: -5.77
V, Å³ per atom: 25.48

Unit cell a=5.3244 b=6.2430 c=6.8801 alpha=116.97 beta=90.00 gamma=90.00
With the nearest neighbours (Å) after each atom.
Element x y z (fractional)
Ce (0.2500, 0.3234, 0.1106)  3 Ce 2.90-2.99
Ce (0.7500, 0.6766, 0.8894)  3 Ce 2.90-2.99
Ce (0.7500, 0.2128, 0.8893)  3 Ce 2.90-2.99
Ce (0.2500, 0.7872, 0.1107)  3 Ce 2.90-2.99
Sc (0.2500, 0.3084, 0.6170)  4 Pb 3.09-3.12, 4 Ce 3.35-3.46
Sc (0.7500, 0.6916, 0.3830)  4 Pb 3.09-3.12, 4 Ce 3.35-3.46
Pb (0.7500, 0.1807, 0.3614)  4 Sc 3.09-3.12, 2 Ce 3.34
Pb (0.2500, 0.8193, 0.6386)  4 Sc 3.09-3.12, 2 Ce 3.34



(8)
First-principles (PBE) data for a relaxed Hf2TiAs2 crystal, as listed in Alexandria.

D(E_F), states/eV per cell: 7.56
Formation enthalpy at 0 K, eV per atom: -0.7540
Symmetry: Cmc2_1 (36)
E, eV/atom: -8.17
V, Å³ per atom: 19.42

Unit cell a=3.7499 b=6.5903 c=8.0773 alpha=90.00 beta=103.42 gamma=90.00
With the nearest neighbours (Å) after each atom.
Element x y z (fractional)
Hf (0.9656, 0.7623, 0.9312)  5 As 2.73-2.80, 2 Ti 3.02
Hf (0.8154, 0.3801, 0.6308)  5 As 2.69-2.88, 2 Ti 3.00
Hf (0.1846, 0.8801, 0.3692)  5 As 2.69-2.88, 2 Ti 3.00
Hf (0.0344, 0.2623, 0.0688)  5 As 2.73-2.80, 2 Ti 3.02
Ti (0.3949, 0.0797, 0.7898)  4 As 2.52-2.71
Ti (0.6051, 0.5797, 0.2102)  4 As 2.52-2.71
As (0.4394, 0.4678, 0.8787)  2 Ti 2.65-2.71, 6 Hf 2.73-2.76
As (0.8043, 0.9444, 0.6086)  2 Ti 2.52, 3 Hf 2.69-2.80
As (0.1957, 0.4444, 0.3914)  2 Ti 2.52, 3 Hf 2.69-2.80
As (0.5606, 0.9678, 0.1213)  2 Ti 2.65-2.71, 6 Hf 2.73-2.76



(9)
First-principles (PBE) data for a relaxed KIn2O2 crystal, as listed in Alexandria.

D(E_F), states/eV per cell: 1.99
Symmetry: P4/mbm (127)
E, eV/atom: -4.14
V, Å³ per atom: 24.12
ΔE_f (raw), eV per atom: -0.837

Unit cell a=8.1746 b=8.1746 c=3.6091 alpha=90.00 beta=90.00 gamma=90.00
With the nearest neighbours (Å) after each atom.
Element x y z (fractional)
K (0.0000, 0.0000, 0.0000)  4 O 2.91
K (0.5000, 0.5000, 0.0000)  4 O 2.91
O (0.2216, 0.7216, 0.0000)  2 In 2.13
O (0.7216, 0.7784, 0.0000)  2 In 2.13
O (0.7784, 0.2784, 0.0000)  2 In 2.13
O (0.2784, 0.2216, 0.0000)  2 In 2.13
In (0.1235, 0.6235, 0.5000)  2 O 2.13
In (0.6235, 0.8765, 0.5000)  2 O 2.13
In (0.8765, 0.3765, 0.5000)  2 O 2.13
In (0.3765, 0.1235, 0.5000)  2 O 2.13



(10)
First-principles (PBE) data for a relaxed Cs2CeHgS4 crystal, as listed in Alexandria.

Symmetry: I-4 (82)
E, eV/atom: -4.13
V, Å³ per atom: 36.68
ΔE_f (raw), eV per atom: -1.077

Unit cell a=7.3160 b=7.3160 c=7.3160 alpha=98.53 beta=115.21 gamma=115.21
With the nearest neighbours (Å) after each atom.
Element x y z (fractional)
Cs (0.5000, 0.7500, 0.2500)  4 S 3.58
Cs (0.0000, 0.0000, 0.0000)  4 S 3.51
Ce (0.5000, 0.2500, 0.7500)  4 S 2.60
Hg (0.0000, 0.5000, 0.5000)  4 S 2.60
S (0.5909, 0.3652, 0.4641)  1 Hg 2.60, 1 Ce 2.60
S (0.0989, 0.2257, 0.6348)  1 Hg 2.60, 1 Ce 2.60
S (0.9011, 0.5359, 0.1268)  1 Hg 2.60, 1 Ce 2.60
S (0.4091, 0.8732, 0.7743)  1 Hg 2.60, 1 Ce 2.60



(11)
First-principles (PBE) data for a relaxed InHg5Pb crystal, as listed in Alexandria.

D(E_F), states/eV per cell: 2.59
Formation enthalpy at 0 K, eV per atom: 0.0481
Symmetry: P4/mmm (123)
E, eV/atom: -1.09
V, Å³ per atom: 29.44

Unit cell a=5.3040 b=5.3040 c=7.3263 alpha=90.00 beta=90.00 gamma=90.00
With the nearest neighbours (Å) after each atom.
Element x y z (fractional)
In (0.0000, 0.0000, 0.0000)  8 Hg 3.26
Hg (0.5000, 0.5000, 0.0000)  8 Hg 3.26
Hg (0.5000, 0.0000, 0.2580)  2 Pb 3.19, 2 In 3.26, 3 Hg 3.26-3.55
Hg (0.0000, 0.5000, 0.2580)  2 Pb 3.19, 3 Hg 3.26-3.55, 2 In 3.26
Hg (0.5000, 0.0000, 0.7420)  2 Pb 3.19, 2 In 3.26, 3 Hg 3.26-3.55
Hg (0.0000, 0.5000, 0.7420)  2 Pb 3.19, 3 Hg 3.26-3.55, 2 In 3.26
Pb (0.0000, 0.0000, 0.5000)  8 Hg 3.19



(12)
First-principles (PBE) data for a relaxed SrNi2N crystal, as listed in Alexandria.

D(E_F), states/eV per cell: 3.57
Symmetry: I4_1/amd (141)
E, eV/atom: -5.56
V, Å³ per atom: 16.67
ΔE_f (raw), eV per atom: -0.168

Unit cell a=4.8603 b=4.8603 c=6.6086 alpha=68.42 beta=68.42 gamma=90.00
With the nearest neighbours (Å) after each atom.
Element x y z (fractional)
Sr (0.0000, 0.0000, 0.0000)  8 Ni 3.06
Sr (0.7500, 0.2500, 0.5000)  8 Ni 3.06
N (0.5000, 0.5000, 0.0000)  4 Ni 1.86
N (0.2500, 0.7500, 0.5000)  4 Ni 1.86
Ni (0.3750, 0.1250, 0.2500)  2 N 1.86
Ni (0.3750, 0.6250, 0.2500)  2 N 1.86
Ni (0.3750, 0.6250, 0.7500)  2 N 1.86
Ni (0.8750, 0.6250, 0.7500)  2 N 1.86



(13)
First-principles (PBE) data for a relaxed TaRh3 crystal, as listed in Alexandria.

D(E_F), states/eV per cell: 4.37
Formation enthalpy at 0 K, eV per atom: -0.3639
Symmetry: Imm2 (44)
E, eV/atom: -8.84
V, Å³ per atom: 15.03

Unit cell a=5.2252 b=5.2252 c=5.2252 alpha=148.46 beta=125.46 gamma=64.38
With the nearest neighbours (Å) after each atom.
Element x y z (fractional)
Ta (0.1679, 0.5000, 0.6679)  10 Rh 2.72-2.83, 2 Ta 2.84
Rh (0.7572, 0.7525, 0.0047)  3 Ta 2.72-2.75, 9 Rh 2.74-2.84
Rh (0.6559, 0.0000, 0.6559)  4 Ta 2.73-2.83, 8 Rh 2.74-2.84
Rh (0.2523, 0.2475, 0.0047)  3 Ta 2.72-2.75, 9 Rh 2.74-2.84



(14)
First-principles (PBE) data for a relaxed LiSiHg2N crystal, as listed in Alexandria.

D(E_F), states/eV per cell: 1.72
Symmetry: P4/mmm (123)
E, eV/atom: -2.19
V, Å³ per atom: 26.34
ΔE_f (raw), eV per atom: 1.064

Unit cell a=5.0662 b=5.1319 c=5.0662 alpha=90.00 beta=90.00 gamma=90.00
With the nearest neighbours (Å) after each atom.
Element x y z (fractional)
Si (0.0000, 0.0000, 0.0000)  4 Hg 2.53, 2 Li 2.57
Li (0.0000, 0.5000, 0.0000)  2 Si 2.57
Hg (0.0000, 0.0000, 0.5000)  2 Si 2.53
Hg (0.5000, 0.0000, 0.0000)  2 Si 2.53
N (0.5000, 0.5000, 0.5000)  4 Li 3.58, 8 Hg 3.61



(15)
First-principles (PBE) data for a relaxed La6HgSb2Te3 crystal, as listed in Alexandria.

D(E_F), states/eV per cell: 7.77
Symmetry: C2/m (12)
E, eV/atom: -5.27
V, Å³ per atom: 34.36
ΔE_f (raw), eV per atom: -1.305

Unit cell a=4.5627 b=9.2629 c=10.2807 alpha=102.96 beta=102.82 gamma=90.00
With the nearest neighbours (Å) after each atom.
Element x y z (fractional)
La (0.3344, 0.9124, 0.6688)  2 Sb 3.22, 1 Hg 3.23, 3 Te 3.25-3.29
La (0.6687, 0.5789, 0.3375)  3 Sb 3.21-3.22, 3 Te 3.28-3.29
La (0.6656, 0.0876, 0.3312)  2 Sb 3.22, 1 Hg 3.23, 3 Te 3.25-3.29
La (0.0010, 0.2487, 0.0019)  1 Sb 3.23, 2 Hg 3.24, 3 Te 3.26-3.29
La (0.9990, 0.7513, 0.9981)  1 Sb 3.23, 2 Hg 3.24, 3 Te 3.26-3.29
La (0.3313, 0.4211, 0.6625)  3 Sb 3.21-3.22, 3 Te 3.28-3.29
Hg (0.5000, 0.0000, 0.0000)  6 La 3.23-3.24
Sb (0.8337, 0.6665, 0.6675)  6 La 3.21-3.23
Sb (0.1663, 0.3335, 0.3325)  6 La 3.21-3.23
Te (0.5000, 0.5000, 0.0000)  6 La 3.26-3.29
Te (0.8321, 0.1666, 0.6642)  6 La 3.25-3.29
Te (0.1679, 0.8334, 0.3358)  6 La 3.25-3.29



(16)
First-principles (PBE) data for a relaxed Ca2Pr3Pt4 crystal, as listed in Alexandria.

D(E_F), states/eV per cell: 9.31
Formation enthalpy at 0 K, eV per atom: -0.9735
Symmetry: P2_1/c (14)
E, eV/atom: -5.70
V, Å³ per atom: 25.94

Unit cell a=7.8422 b=7.9851 c=7.8804 alpha=90.00 beta=90.00 gamma=108.87
With the nearest neighbours (Å) after each atom.
Element x y z (fractional)
Ca (0.5860, 0.1998, 0.3198)  6 Pt 3.11-3.38
Ca (0.9140, 0.8002, 0.8198)  6 Pt 3.11-3.38
Ca (0.4140, 0.8002, 0.6802)  6 Pt 3.11-3.38
Ca (0.0860, 0.1998, 0.1802)  6 Pt 3.11-3.38
Pr (0.0000, 0.5000, 0.5000)  6 Pt 3.06-3.10
Pr (0.5000, 0.5000, 0.0000)  6 Pt 3.06-3.10
Pr (0.7510, 0.2363, 0.8326)  6 Pt 2.92-3.09
Pr (0.7490, 0.7637, 0.3326)  6 Pt 2.92-3.09
Pr (0.2490, 0.7637, 0.1674)  6 Pt 2.92-3.09
Pr (0.2510, 0.2363, 0.6674)  6 Pt 2.92-3.09
Pt (0.8727, 0.0963, 0.5298)  4 Pr 2.92-3.06, 1 Pt 2.93, 2 Ca 3.11-3.19
Pt (0.6273, 0.9037, 0.0298)  4 Pr 2.92-3.06, 1 Pt 2.93, 2 Ca 3.11-3.19
Pt (0.1273, 0.9037, 0.4702)  4 Pr 2.92-3.06, 1 Pt 2.93, 2 Ca 3.11-3.19
Pt (0.3727, 0.0963, 0.9702)  4 Pr 2.92-3.06, 1 Pt 2.93, 2 Ca 3.11-3.19
Pt (0.8739, 0.5024, 0.1279)  1 Pt 2.83, 5 Pr 3.02-3.10, 1 Ca 3.11
Pt (0.6261, 0.4976, 0.6279)  1 Pt 2.83, 5 Pr 3.02-3.10, 1 Ca 3.11
Pt (0.1261, 0.4976, 0.8721)  1 Pt 2.83, 5 Pr 3.02-3.10, 1 Ca 3.11
Pt (0.3739, 0.5024, 0.3721)  1 Pt 2.83, 5 Pr 3.02-3.10, 1 Ca 3.11



(17)
First-principles (PBE) data for a relaxed CsAgAsSe3 crystal, as listed in Alexandria.

Symmetry: C2/m (12)
E, eV/atom: -3.56
V, Å³ per atom: 34.53
ΔE_f (raw), eV per atom: -0.423

Unit cell a=7.6888 b=7.6888 c=8.6243 alpha=72.08 beta=72.08 gamma=60.41
With the nearest neighbours (Å) after each atom.
Element x y z (fractional)
Cs (0.6960, 0.6960, 0.7756)  9 Se 3.81-3.92
Cs (0.3040, 0.3040, 0.2244)  9 Se 3.81-3.92
Ag (0.2576, 0.7424, 0.5000)  2 Se 2.49
Ag (0.7424, 0.2576, 0.5000)  2 Se 2.49
As (0.0243, 0.0243, 0.8419)  3 Se 2.29-2.38
As (0.9757, 0.9757, 0.1581)  3 Se 2.29-2.38
Se (0.2072, 0.2072, 0.7101)  1 As 2.29
Se (0.1871, 0.6786, 0.8085)  1 As 2.38, 1 Ag 2.49
Se (0.6786, 0.1871, 0.8085)  1 As 2.38, 1 Ag 2.49
Se (0.3214, 0.8129, 0.1915)  1 As 2.38, 1 Ag 2.49
Se (0.8129, 0.3214, 0.1915)  1 As 2.38, 1 Ag 2.49
Se (0.7928, 0.7928, 0.2899)  1 As 2.29



(18)
First-principles (PBE) data for a relaxed Be13Co2 crystal, as listed in Alexandria.

D(E_F), states/eV per cell: 4.65
Formation enthalpy at 0 K, eV per atom: 0.2259
Symmetry: R-3m (166)
E, eV/atom: -3.95
V, Å³ per atom: 10.22

Unit cell a=5.8172 b=5.8172 c=6.2143 alpha=62.09 beta=62.09 gamma=60.00
With the nearest neighbours (Å) after each atom.
Element x y z (fractional)
Be (0.5000, 0.5000, 0.5000)  12 Be 2.11-2.13
Be (0.4884, 0.8523, 0.1708)  5 Be 2.01-2.23, 1 Co 2.14
Be (0.4884, 0.4884, 0.1708)  5 Be 2.01-2.23, 1 Co 2.14
Be (0.8523, 0.4884, 0.1708)  5 Be 2.01-2.23, 1 Co 2.14
Be (0.1477, 0.5116, 0.8292)  5 Be 2.01-2.23, 1 Co 2.14
Be (0.5116, 0.1477, 0.8292)  5 Be 2.01-2.23, 1 Co 2.14
Be (0.5116, 0.5116, 0.8292)  5 Be 2.01-2.23, 1 Co 2.14
Be (0.2701, 0.8978, 0.5620)  8 Be 2.13-2.31, 1 Co 2.24
Be (0.2701, 0.2701, 0.5620)  8 Be 2.13-2.31, 1 Co 2.24
Be (0.8978, 0.2701, 0.5620)  8 Be 2.13-2.31, 1 Co 2.24
Be (0.1022, 0.7299, 0.4380)  8 Be 2.13-2.31, 1 Co 2.24
Be (0.7299, 0.1022, 0.4380)  8 Be 2.13-2.31, 1 Co 2.24
Be (0.7299, 0.7299, 0.4380)  8 Be 2.13-2.31, 1 Co 2.24
Co (0.2646, 0.2646, 0.2061)  9 Be 2.14-2.32
Co (0.7354, 0.7354, 0.7939)  9 Be 2.14-2.32